(1)
A geometry-optimized Pm2BeGe2Pd4 structure. Source: Alexandria, functional PBE.

Properties
space-group type: I4/mmm, No. 139
crystal system: tetragonal

a b c (Å): 6.101 6.101 6.101
angles (deg): 117.64 117.64 94.15
Atoms (fractional coordinates):
Pm  0.250  0.750  0.500
Pm  0.750  0.250  0.500
Be  0.000  0.000  0.000
Ge  0.302  0.302  0.000
Ge  0.698  0.698  0.000
Pd  0.260  0.260  0.521
Pd  0.260  0.740  0.000
Pd  0.740  0.260  0.000
Pd  0.740  0.740  0.479

---

(2)
A geometry-optimized CaMg6SiO8 structure. Source: Alexandria, functional PBE.

Properties
space-group type: P4/mmm, No. 123
crystal system: tetragonal
ΔE_f (raw): -2349 meV/atom

a b c (Å): 4.432 4.432 8.731
angles (deg): 90.00 90.00 90.00
Atoms (fractional coordinates):
Ca  0.000  0.000  0.000
Mg  0.000  0.500  0.255
Mg  0.000  0.500  0.745
Mg  0.500  0.000  0.255
Mg  0.500  0.000  0.745
Mg  0.500  0.500  0.000
Mg  0.500  0.500  0.500
Si  0.000  0.000  0.500
O  0.000  0.000  0.257
O  0.000  0.000  0.743
O  0.000  0.500  0.000
O  0.000  0.500  0.500
O  0.500  0.000  0.000
O  0.500  0.000  0.500
O  0.500  0.500  0.251
O  0.500  0.500  0.749

---

Number 1: E_tot -5.423 eV per atom, volume 18.43 Å³ per atom. Number 2: E_tot -5.890 eV per atom, volume 10.72 Å³ per atom.